First-principles (PBE) data for LiV3Te after structural relaxation, as listed in Alexandria.

For the volume, the calculation gives 15.163 Å³/atom. For the density of states at the Fermi level, the calculation gives 5.363 states/eV/f.u. The raw formation energy comes out at 4.89 eV per formula unit. The relative energy among the computed polymorphs is 0 meV/atom.

The structure belongs to space group Pm-3m (No. 221); the cell edges are 4.232, 4.232 and 4.232 Å and the angles 90.00°, 90.00° and 90.00°. Symmetry generates all atoms from Li at (0.000, 0.000, 0.000), V at (0.000, 0.000, 0.500) and Te at (0.500, 0.500, 0.500).